Li2Pr2ErIn2 | PBE | relaxed

ΔH_f (0 K) in meV per atom: -240.2
Density in Mg/m³: 6.17
Total magnetization in μB per cell: 0.0
Crystal system: trigonal
Total energy in eV per atom: -3.5869

Cell lengths 4.8863, 4.8863, 27.0295 Å; angles 90.00, 90.00, 120.00 degrees
Space group R-3m (No. 166, hexagonal axes)
One atom of each set of equivalent atoms:
Li1 0.0000 0.0000 0.1120 x6
Pr1 0.0000 0.0000 0.3730 x6
Er1 0.0000 0.0000 0.5000 x3
In1 0.0000 0.0000 0.2324 x6

=====

Li8Mg6Pd | PBE | relaxed

ΔH_f (0 K) in meV per atom: -52.5
Excess energy over the best structure of this formula in the dataset in meV/atom: 45
Density in Mg/m³: 1.73
Total magnetization in μB per cell: 0.0
Crystal system: trigonal
Total energy in eV per atom: -2.0572

Cell lengths 8.1767, 8.1767, 15.2826 Å; angles 90.00, 90.00, 120.00 degrees
Space group R-3 (No. 148, hexagonal axes)
One atom of each set of equivalent atoms:
Li1 0.0000 0.0000 0.2387 x6
Li2 0.0479 0.2635 0.9057 x18
Mg1 0.0171 0.2338 0.4093 x18
Pd1 0.0000 0.0000 0.0000 x3

=====

Cs3GaBi | PBE | relaxed

ΔH_f (0 K) in meV per atom: -152.6
Excess energy over the best structure of this formula in the dataset in meV/atom: 0
Density in Mg/m³: 3.98
Total magnetization in μB per cell: 0.0
Crystal system: monoclinic
Total energy in eV per atom: -2.0463

Cell lengths 8.074, 8.806, 8.090 Å; angles 90.00, 100.99, 90.00 degrees
Space group P2_1/m (No. 11)
One atom of each set of equivalent atoms:
Cs1 0.218 0.250 0.281 x2
Cs2 0.278 0.000 0.778 x4
Ga1 0.087 0.750 0.414 x2
Bi1 0.300 0.750 0.199 x2

=====

Ca2WSe | PBE | relaxed

Density in Mg/m³: 4.58
Uncorrected formation energy in meV/atom: 405
Total magnetization in μB per cell: 5.3
Crystal system: tetragonal
Total energy in eV per atom: -4.7050

Cell lengths 10.223, 10.223, 4.762 Å; angles 90.00, 90.00, 90.00 degrees
Space group I-42d (No. 122)
One atom of each set of equivalent atoms:
Ca1 0.109 0.250 0.125 x8
W1 0.000 0.000 0.500 x4
Se1 0.000 0.000 0.000 x4

=====

Na2Ag3Bi2 | PBE | relaxed

ΔH_f (0 K) in meV per atom: -93.5
Density in Mg/m³: 7.16
Total magnetization in μB per cell: 0.0
Crystal system: monoclinic
Total energy in eV per atom: -2.8012

Cell lengths 11.082, 4.855, 7.353 Å; angles 90.00, 112.66, 90.00 degrees
Space group C2/m (No. 12)
One atom of each set of equivalent atoms:
Na1 0.142 0.000 0.245 x4
Ag1 0.000 0.500 0.500 x2
Ag2 0.100 0.500 0.925 x4
Bi1 0.145 0.000 0.727 x4

=====

Np2H6PdRu | PBE | relaxed

Density in Mg/m³: 11.17
Total magnetization in μB per cell: 55.0
Crystal system: trigonal
Total energy in eV per atom: -6.1623

Cell lengths 5.1941, 5.1941, 26.2543 Å; angles 90.00, 90.00, 120.00 degrees
Space group R-3m (No. 166, hexagonal axes)
One atom of each set of equivalent atoms:
Np1 0.0000 0.0000 0.1263 x6
Np2 0.0000 0.0000 0.2748 x6
H1 0.0152 0.5076 0.8664 x18
H2 0.0626 0.5313 0.7145 x18
Pd1 0.0000 0.0000 0.3876 x6
Ru1 0.0000 0.0000 0.0000 x3
Ru2 0.0000 0.0000 0.5000 x3